# ZrZn2Pt, single point on PBEsol structure, DFT SCAN
data_ZrZn2Pt
_chemical_formula_sum 'Zr1 Zn2 Pt1'
_cell_length_a 2.841
_cell_length_b 4.507
_cell_length_c 5.082
_cell_angle_alpha 90.00
_cell_angle_beta 92.67
_cell_angle_gamma 90.00
_symmetry_space_group_name_H-M 'P 1 2/m 1'
_symmetry_Int_Tables_number 10
loop_
_symmetry_equiv_pos_as_xyz
'x,y,z'
'-x,-y,-z'
'-x,y,-z'
'x,-y,z'
loop_
_atom_site_label
_atom_site_type_symbol
_atom_site_fract_x
_atom_site_fract_y
_atom_site_fract_z
Zr1 Zr 0.000 0.000 0.000
Zn1 Zn 0.467 0.500 0.750
Pt1 Pt 0.500 0.000 0.500
# Formation enthalpy at 0 K in meV per atom: -558.5